1) DFT (meta-GGA SCAN) results for a crystal of ZnAg2Br relaxed with PBEsol.

- Density: 7.537 g/cm³
- Calculated volume: 79.6 Å³/cell
- SG: C2/m (12)

Lattice parameters (Å, degrees): 3.4244 4.3687 5.8964 100.48 90.00 113.07
Closest atoms and distances in Å follow each position.
Fractional positions:
Ag (0.7657, 0.5315, 0.8116)  3 Zn 2.60-2.62, 2 Ag 2.86, 1 Br 2.88
Ag (0.2343, 0.4685, 0.1884)  3 Zn 2.60-2.62, 2 Ag 2.86, 1 Br 2.88
Br (0.0000, 0.0000, 0.5000)  6 Ag 2.88-3.05
Zn (0.5000, 0.0000, 0.0000)  6 Ag 2.60-2.62


2) DFT (meta-GGA SCAN) results for a crystal of ZnAg2Br relaxed with PBEsol.

- Density: 7.467 g/cm³
- Calculated volume: 80.3 Å³/cell
- SG: Imm2 (44)

Lattice parameters (Å, degrees): 3.4400 3.7983 6.6580 106.57 104.97 90.00
Closest atoms and distances in Å follow each position.
Fractional positions:
Ag (0.9307, 0.9307, 0.8614)  2 Zn 2.65, 2 Ag 2.84, 4 Br 2.91
Ag (0.2465, 0.7465, 0.4930)  4 Zn 2.60, 2 Ag 2.84
Br (0.5426, 0.5426, 0.0852)  6 Ag 2.91-3.04
Zn (0.7801, 0.2801, 0.5603)  6 Ag 2.60-2.65


Most stable: 2). Least stable: 1).